[1]
First-principles (PBE-GGA) data for a geometry-optimized CsP2 structure, as listed in Alexandria via LeMat-Bulk.

Cell lengths 4.875, 4.875, 5.329 Å; angles 90.16, 90.16, 90.04 degrees
Fractional coordinates of all 3 atoms:
Cs  0.000  0.000  0.000
P  0.500  0.500  0.314
P  0.500  0.500  0.686

Values from the calculation:
ΔH_f (0 K)	14	meV per atom
DOS at the Fermi energy	2.842	states/eV/cell

***

[2]
First-principles (PBE-GGA) data for a geometry-optimized PrSnB2O6 structure, as listed in Alexandria via LeMat-Bulk.

Cell lengths 6.530, 6.530, 6.509 Å; angles 101.29, 101.29, 98.04 degrees
Fractional coordinates of all 20 atoms:
Pr  0.114  0.886  0.750
Pr  0.886  0.114  0.250
Sn  0.412  0.588  0.250
Sn  0.588  0.412  0.750
B  0.091  0.401  0.755
B  0.401  0.091  0.255
B  0.599  0.909  0.745
B  0.909  0.599  0.245
O  0.046  0.200  0.630
O  0.058  0.468  0.246
O  0.200  0.046  0.130
O  0.300  0.489  0.881
O  0.468  0.058  0.746
O  0.489  0.300  0.381
O  0.511  0.700  0.619
O  0.532  0.942  0.254
O  0.700  0.511  0.119
O  0.800  0.954  0.870
O  0.942  0.532  0.754
O  0.954  0.800  0.370

Values from the calculation:
ΔE_f (raw)	-2384	meV per atom
DOS at the Fermi energy	2.083	states/eV/cell